No. 1
## Li7Tl3Ga2 (PBE)

Data for a relaxed structure of Li7Tl3Ga2. Values from VASP.

Computed properties:
ΔH_f (0 K)   -0.130 eV/atom
Total magnetization   0.00 μB per cell
N(E_F)   5.344 states/eV/f.u.
SG   Cmmm
DFT total energy   -0.172 Ry per atom

Geometry as Quantum ESPRESSO input:
```
&SYSTEM
  ibrav = 0, nat = 12, ntyp = 3
/
ATOMIC_SPECIES
Li 6.94 Li.upf
Tl 204.38 Tl.upf
Ga 69.72 Ga.upf
CELL_PARAMETERS angstrom
2.307 -10.856 0.000
2.307 10.856 0.000
0.000 0.000 4.747
ATOMIC_POSITIONS crystal
Li 0.000 0.000 0.000
Li 0.079 0.921 0.500
Li 0.276 0.724 0.000
Li 0.420 0.580 0.000
Li 0.580 0.420 0.000
Li 0.724 0.276 0.000
Li 0.921 0.079 0.500
Tl 0.337 0.663 0.500
Tl 0.500 0.500 0.500
Tl 0.663 0.337 0.500
Ga 0.148 0.852 0.000
Ga 0.852 0.148 0.000
```



No. 2
## Y2Zn5Co5 (PBE)

Data for a relaxed structure of Y2Zn5Co5. Values from VASP.

Computed properties:
ΔH_f (0 K)   -0.173 eV/atom
Total magnetization   4.88 μB per cell
N(E_F)   10.680 states/eV/f.u.
SG   Pmmm
DFT total energy   -0.349 Ry per atom

Geometry as Quantum ESPRESSO input:
```
&SYSTEM
  ibrav = 0, nat = 12, ntyp = 3
/
ATOMIC_SPECIES
Y 88.91 Y.upf
Zn 65.41 Zn.upf
Co 58.93 Co.upf
CELL_PARAMETERS angstrom
4.056 0.000 0.000
0.000 5.038 0.000
0.000 0.000 8.921
ATOMIC_POSITIONS crystal
Y 0.000 0.000 0.000
Y 0.000 0.500 0.500
Zn 0.000 0.000 0.323
Zn 0.000 0.000 0.677
Zn 0.000 0.500 0.169
Zn 0.000 0.500 0.831
Zn 0.500 0.000 0.500
Co 0.500 0.246 0.240
Co 0.500 0.246 0.760
Co 0.500 0.500 0.000
Co 0.500 0.754 0.240
Co 0.500 0.754 0.760
```



No. 3
## CaTlAgI4 (PBE)

Data for a relaxed structure of CaTlAgI4. Values from VASP.

Computed properties:
Total magnetization   0.00 μB per cell
N(E_F)   0.000 states/eV/f.u.
SG   P2_1/m
DFT total energy   -0.207 Ry per atom

Geometry as Quantum ESPRESSO input:
```
&SYSTEM
  ibrav = 0, nat = 14, ntyp = 4
/
ATOMIC_SPECIES
Ca 40.08 Ca.upf
Tl 204.38 Tl.upf
Ag 107.87 Ag.upf
I 126.90 I.upf
CELL_PARAMETERS angstrom
7.604 0.000 0.000
0.000 8.332 0.000
-2.748 0.000 8.954
ATOMIC_POSITIONS crystal
Ca 0.213 0.250 0.055
Ca 0.787 0.750 0.945
Tl 0.206 0.250 0.545
Tl 0.794 0.750 0.455
Ag 0.236 0.750 0.824
Ag 0.764 0.250 0.176
I 0.019 0.510 0.219
I 0.019 0.990 0.219
I 0.471 0.750 0.639
I 0.492 0.750 0.113
I 0.508 0.250 0.887
I 0.529 0.250 0.361
I 0.981 0.010 0.781
I 0.981 0.490 0.781
```



No. 4
## Er4MgPd (PBE)

Data for a relaxed structure of Er4MgPd. Values from VASP.

Computed properties:
ΔH_f (0 K)   -0.043 eV/atom
Total magnetization   0.00 μB per cell
N(E_F)   5.828 states/eV/f.u.
SG   P4/mmm
Relative energy among the computed polymorphs   325 meV/atom
DFT total energy   -0.310 Ry per atom

Geometry as Quantum ESPRESSO input:
```
&SYSTEM
  ibrav = 0, nat = 6, ntyp = 3
/
ATOMIC_SPECIES
Er 167.26 Er.upf
Mg 24.30 Mg.upf
Pd 106.42 Pd.upf
CELL_PARAMETERS angstrom
4.832 0.000 0.000
0.000 4.832 0.000
0.000 0.000 7.759
ATOMIC_POSITIONS crystal
Er 0.000 0.500 0.215
Er 0.000 0.500 0.785
Er 0.500 0.000 0.215
Er 0.500 0.000 0.785
Mg 0.000 0.000 0.500
Pd 0.500 0.500 0.000
```